# 1
The following is a GGA-PBE calculation of crystalline ZrSnBMo2 at its relaxed geometry, from Alexandria.

Cell lengths 5.0687, 5.0687, 3.9912 Å; angles 90.00, 90.00, 90.00 degrees
With the nearest neighbours (Å) after each atom.
Element x y z (fractional)
Zr: 0.0000 0.0000 0.0000  8 Mo 3.23, 4 B 3.58
Sn: 0.5000 0.5000 0.5000  2 B 2.00
B: 0.5000 0.5000 0.0000  2 Sn 2.00
Mo: 0.0000 0.5000 0.5000  2 Sn 2.53
Mo: 0.5000 0.0000 0.5000  2 Sn 2.53

Summary:
The theoretical density is 6.68 g/cm³. For the energy of formation, the calculation gives 171.7 kJ per mole of atoms.


# 2
The following is a GGA-PBE calculation of crystalline KMgI3 at its relaxed geometry, from Alexandria.

Cell lengths 5.8509, 5.8509, 5.8509 Å; angles 90.00, 90.00, 90.00 degrees
With the nearest neighbours (Å) after each atom.
Element x y z (fractional)
K: 0.0000 0.0000 0.0000  12 I 4.14
Mg: 0.5000 0.5000 0.5000  6 I 2.93
I: 0.0000 0.5000 0.5000  2 Mg 2.93
I: 0.5000 0.0000 0.5000  2 Mg 2.93
I: 0.5000 0.5000 0.0000  2 Mg 2.93

Summary:
The theoretical density is 3.68 g/cm³. The calculation puts the energy relative to the elements, uncorrected at -1120 meV/atom.


# 3
The following is a GGA-PBE calculation of crystalline CeMg6Cu at its relaxed geometry, from Alexandria.

Cell lengths 4.8622, 6.8719, 6.8719 Å; angles 53.67, 90.00, 90.00 degrees
With the nearest neighbours (Å) after each atom.
Element x y z (fractional)
Ce: 0.0000 0.0000 0.0000  2 Cu 3.14, 8 Mg 3.17-3.34
Mg: 0.0000 0.4456 0.4456  8 Mg 3.08-3.10, 2 Ce 3.17
Mg: 0.0000 0.4795 0.9748  7 Mg 2.93-3.26, 2 Cu 3.00, 1 Ce 3.20
Mg: 0.0000 0.9748 0.4795  7 Mg 2.93-3.26, 2 Cu 3.00, 1 Ce 3.20
Mg: 0.5000 0.1078 0.6137  1 Cu 2.90, 6 Mg 2.93-3.14
Mg: 0.5000 0.6028 0.6028  8 Mg 3.10-3.36, 2 Cu 3.19
Mg: 0.5000 0.6137 0.1078  1 Cu 2.90, 6 Mg 2.93-3.14
Cu: 0.5000 0.1617 0.1617  8 Mg 2.90-3.19, 2 Ce 3.14

Summary:
The theoretical density is 3.14 g/cm³. For the energy of formation, the calculation gives 7.4 kJ per mole of atoms. As for the relative energy among the computed polymorphs: 11.2 meV/atom.


# 4
The following is a GGA-PBE calculation of crystalline Ac3Sn2Pt7 at its relaxed geometry, from Alexandria.

Cell lengths 4.3862, 4.1726, 16.1882 Å; angles 90.00, 97.53, 90.00 degrees
With the nearest neighbours (Å) after each atom.
Element x y z (fractional)
Ac: 0.0000 0.0000 0.0000  4 Pt 3.03
Ac: 0.2011 0.0000 0.4057  8 Pt 3.03-3.14
Ac: 0.7989 0.0000 0.5943  8 Pt 3.03-3.14
Sn: 0.4170 0.5000 0.8356  5 Pt 2.64-2.68
Sn: 0.5830 0.5000 0.1644  5 Pt 2.64-2.68
Pt: 0.1293 0.5000 0.2599  2 Sn 2.67-2.68
Pt: 0.3057 0.5000 0.6077  4 Pt 2.91-3.06, 4 Ac 3.03-3.04
Pt: 0.3676 0.0000 0.7344  2 Sn 2.64, 2 Pt 2.91
Pt: 0.5000 0.5000 0.0000  2 Sn 2.64
Pt: 0.6324 0.0000 0.2656  2 Sn 2.64, 2 Pt 2.91
Pt: 0.6943 0.5000 0.3923  4 Pt 2.91-3.06, 4 Ac 3.03-3.04
Pt: 0.8707 0.5000 0.7401  2 Sn 2.67-2.68

Summary:
The theoretical density is 12.91 g/cm³. For the energy of formation, the calculation gives -70.6 kJ per mole of atoms.


# 5
The following is a GGA-PBE calculation of crystalline Sc3MoC4 at its relaxed geometry, from Alexandria.

Cell lengths 6.8045, 6.8045, 6.8045 Å; angles 150.94, 140.74, 49.57 degrees
With the nearest neighbours (Å) after each atom.
Element x y z (fractional)
Sc: 0.0000 0.0000 0.0000  8 C 2.43
Sc: 0.3091 0.8091 0.5000  6 C 2.37-2.44
Sc: 0.6909 0.1909 0.5000  6 C 2.37-2.44
Mo: 0.5000 0.5000 0.0000  4 C 2.21
C: 0.0324 0.3732 0.6593  1 C 1.46
C: 0.2861 0.6268 0.6593  1 C 1.46
C: 0.7139 0.3732 0.3407  1 C 1.46
C: 0.9676 0.6268 0.3407  1 C 1.46

Summary:
The theoretical density is 4.80 g/cm³. For the energy of formation, the calculation gives -37.0 kJ per mole of atoms.


# 6
The following is a GGA-PBE calculation of crystalline NdY5Cd4 at its relaxed geometry, from Alexandria.

Cell lengths 3.7209, 3.7209, 20.2109 Å; angles 90.00, 90.00, 90.00 degrees
With the nearest neighbours (Å) after each atom.
Element x y z (fractional)
Nd: 0.0000 0.0000 0.0000  8 Y 3.64, 4 Nd 3.72
Y: 0.5000 0.5000 0.1245  4 Cd 3.24
Y: 0.5000 0.5000 0.3130  8 Cd 3.23-3.25
Y: 0.5000 0.5000 0.5000  8 Cd 3.25
Y: 0.5000 0.5000 0.6870  8 Cd 3.23-3.25
Y: 0.5000 0.5000 0.8755  4 Cd 3.24
Cd: 0.0000 0.0000 0.2184  8 Y 3.24-3.25
Cd: 0.0000 0.0000 0.4056  8 Y 3.23-3.25
Cd: 0.0000 0.0000 0.5944  8 Y 3.23-3.25
Cd: 0.0000 0.0000 0.7816  8 Y 3.24-3.25

Summary:
The theoretical density is 6.16 g/cm³. For the energy of formation, the calculation gives -26.5 kJ per mole of atoms.


# 7
The following is a GGA-PBE calculation of crystalline Be2Co2Sn at its relaxed geometry, from Alexandria.

Cell lengths 6.3445, 6.3445, 2.7706 Å; angles 90.00, 90.00, 90.00 degrees
With the nearest neighbours (Å) after each atom.
Element x y z (fractional)
Be: 0.1172 0.3828 0.0000  1 Be 2.10, 4 Co 2.30
Be: 0.3828 0.8828 0.0000  1 Be 2.10, 4 Co 2.30
Be: 0.6172 0.1172 0.0000  1 Be 2.10, 4 Co 2.30
Be: 0.8828 0.6172 0.0000  1 Be 2.10, 4 Co 2.30
Co: 0.1675 0.6675 0.5000  6 Be 2.30-2.38
Co: 0.3325 0.1675 0.5000  6 Be 2.30-2.38
Co: 0.6675 0.8325 0.5000  6 Be 2.30-2.38
Co: 0.8325 0.3325 0.5000  6 Be 2.30-2.38
Sn: 0.0000 0.0000 0.0000  4 Be 2.54, 8 Co 2.74, 2 Sn 2.77
Sn: 0.5000 0.5000 0.0000  4 Be 2.54, 8 Co 2.74, 2 Sn 2.77

Summary:
The theoretical density is 7.58 g/cm³. For the energy of formation, the calculation gives -5.1 kJ per mole of atoms. As for the relative energy among the computed polymorphs: 0.0 meV/atom.


# 8
The following is a GGA-PBE calculation of crystalline Sc3RuC4 at its relaxed geometry, from Alexandria.

Cell lengths 8.1689, 8.1689, 4.0252 Å; angles 101.34, 101.34, 23.24 degrees
With the nearest neighbours (Å) after each atom.
Element x y z (fractional)
Sc: 0.0000 0.0000 0.0000  4 C 2.51, 4 Ru 2.60
Sc: 0.1785 0.1785 0.7076  3 C 2.20-2.42
Sc: 0.8215 0.8215 0.2924  3 C 2.20-2.42
Ru: 0.5000 0.5000 0.5000  2 C 1.99
C: 0.3185 0.3185 0.7839  1 C 1.34
C: 0.3939 0.3939 0.6887  1 C 1.34
C: 0.6061 0.6061 0.3113  1 C 1.34
C: 0.6815 0.6815 0.2161  1 C 1.34

Summary:
The theoretical density is 4.54 g/cm³. For the energy of formation, the calculation gives -24.4 kJ per mole of atoms.